1.
Material: Pr4Nd3In
Method: DFT, PBE-GGA
State: relaxed

Unit cell a=7.186 b=7.273 c=10.220 alpha=90.00 beta=90.00 gamma=90.00
Fractional positions:
Pr: 0.740 0.061 0.251
Pr: 0.001 0.311 0.500
Nd: 0.000 0.310 0.000
Nd: 0.000 0.810 0.500
Pr: 0.499 0.810 0.500
Pr: 0.501 0.310 0.000
Pr: 0.260 0.561 0.751
Nd: 0.261 0.061 0.750
Pr: 0.999 0.811 0.000
Pr: 0.740 0.061 0.749
Nd: 0.739 0.561 0.750
In: 0.500 0.811 0.000
Nd: 0.739 0.561 0.250
Pr: 0.260 0.561 0.249
In: 0.500 0.311 0.500
Nd: 0.261 0.061 0.250

Calculated values
Crystal system = orthorhombic
Total moment = 0.00 μB/cell



2.
Material: Pr4Nd3In
Method: DFT, PBE-GGA
State: relaxed

Unit cell a=6.345 b=7.308 c=11.642 alpha=90.00 beta=90.00 gamma=90.00
Fractional positions:
Nd: 0.147 0.124 0.500
Nd: 0.472 0.115 0.745
Nd: 0.972 0.885 0.755
Pr: 0.623 0.369 0.000
Pr: 0.989 0.365 0.229
Pr: 0.989 0.365 0.771
In: 0.150 0.114 0.000
Pr: 0.173 0.629 0.000
Pr: 0.123 0.631 0.500
Nd: 0.647 0.876 0.000
Pr: 0.673 0.371 0.500
In: 0.650 0.886 0.500
Pr: 0.489 0.635 0.271
Nd: 0.972 0.885 0.245
Pr: 0.489 0.635 0.729
Nd: 0.472 0.115 0.255

Calculated values
Crystal system = orthorhombic
Total moment = 0.00 μB/cell



Result of the stability comparison: 2 is the most stable of them.



1.
Material: Pr2NdIn4
Method: DFT, PBE-GGA
State: relaxed

Unit cell a=6.367 b=9.008 c=8.609 alpha=115.10 beta=93.63 gamma=108.33
Fractional positions:
In: 0.009 0.594 0.706
In: 0.111 0.330 0.393
Nd: 0.065 0.982 0.026
In: 0.239 0.438 0.100
Pr: 0.661 0.371 0.252
Pr: 0.486 0.542 0.794
In: 0.534 0.948 0.907
In: 0.771 0.792 0.593
In: 0.298 0.147 0.787
Pr: 0.717 0.911 0.274
Pr: 0.816 0.203 0.712
In: 0.925 0.603 0.059
Nd: 0.248 0.760 0.466
In: 0.368 0.127 0.431

Calculated values
Crystal system = triclinic
Total moment = 0.00 μB/cell



2.
Material: Pr2NdIn4
Method: DFT, PBE-GGA
State: relaxed

Unit cell a=5.401 b=5.401 c=8.473 alpha=108.58 beta=108.58 gamma=90.00
Fractional positions:
In: 0.113 0.613 0.226
Pr: 0.255 0.255 0.510
Nd: 0.000 0.000 0.000
Pr: 0.745 0.745 0.490
In: 0.613 0.113 0.226
In: 0.887 0.387 0.774
In: 0.387 0.887 0.774

Calculated values
Crystal system = tetragonal
Total moment = 0.00 μB/cell



Result of the stability comparison: 1 is the most stable of them.



1.
Material: PrNdIn
Method: DFT, PBE-GGA
State: relaxed

Unit cell a=5.592 b=5.590 c=6.959 alpha=90.00 beta=90.00 gamma=120.02
Fractional positions:
Nd: 0.333 0.667 0.250
Pr: 0.000 0.000 0.000
Pr: 0.000 0.000 0.500
Nd: 0.667 0.333 0.750
In: 0.333 0.667 0.750
In: 0.667 0.333 0.250

Calculated values
Crystal system = hexagonal
Total moment = 0.79 μB/cell



2.
Material: PrNdIn
Method: DFT, PBE-GGA
State: relaxed

Unit cell a=3.574 b=3.574 c=15.596 alpha=96.58 beta=96.58 gamma=90.00
Fractional positions:
Pr: 0.298 0.298 0.596
Nd: 0.559 0.559 0.118
Pr: 0.702 0.702 0.404
Nd: 0.441 0.441 0.882
In: 0.128 0.128 0.256
In: 0.872 0.872 0.744

Calculated values
Crystal system = tetragonal
Total moment = 0.00 μB/cell



3.
Material: PrNdIn
Method: DFT, PBE-GGA
State: relaxed

Unit cell a=3.771 b=5.361 c=5.361 alpha=120.00 beta=90.00 gamma=90.00
Fractional positions:
Nd: 0.380 0.333 0.667
Pr: 0.963 0.000 0.000
In: 0.657 0.667 0.333

Calculated values
Crystal system = trigonal
Total moment = 0.00 μB/cell



Result of the stability comparison: 1 is the most stable of them.



1.
Material: PrNdIn
Method: DFT, PBE-GGA
State: relaxed

Unit cell a=4.800 b=4.800 c=8.583 alpha=90.02 beta=89.98 gamma=90.01
Fractional positions:
Nd: 0.750 0.750 0.000
In: 0.250 0.750 0.269
Pr: 0.750 0.250 0.356
Nd: 0.250 0.250 0.000
Pr: 0.250 0.750 0.644
In: 0.750 0.250 0.731

Calculated values
Crystal system = tetragonal
Total moment = 1.05 μB/cell



2.
Material: PrNdIn
Method: DFT, PBE-GGA
State: relaxed

Unit cell a=4.143 b=4.143 c=6.121 alpha=109.78 beta=109.78 gamma=90.00
Fractional positions:
Nd: 0.296 0.296 0.591
In: 0.949 0.949 0.897
Pr: 0.606 0.606 0.212

Calculated values
Crystal system = tetragonal
Total moment = 0.02 μB/cell



Result of the stability comparison: 1 is the most stable of them.



1.
Material: Pr5Nd4In
Method: DFT, PBE-GGA
State: relaxed

Unit cell a=4.307 b=4.307 c=18.469 alpha=90.00 beta=90.00 gamma=90.00
Fractional positions:
Nd: 0.000 0.000 0.398
Nd: 0.000 0.000 0.804
Pr: 0.500 0.500 0.088
Pr: 0.500 0.500 0.500
Pr: 0.500 0.500 0.294
Pr: 0.500 0.500 0.706
Nd: 0.000 0.000 0.196
Nd: 0.000 0.000 0.602
In: 0.000 0.000 0.000
Pr: 0.500 0.500 0.912

Calculated values
Crystal system = tetragonal
Total moment = 0.00 μB/cell



2.
Material: Pr5Nd4In
Method: DFT, PBE-GGA
State: relaxed

Unit cell a=6.166 b=8.228 c=8.228 alpha=81.93 beta=68.00 gamma=68.00
Fractional positions:
Nd: 0.771 0.688 0.688
Nd: 0.459 0.312 0.688
In: 0.191 0.000 0.000
Nd: 0.459 0.688 0.312
Pr: 0.766 0.375 0.000
Pr: 0.670 0.000 0.000
Pr: 0.141 0.625 0.000
Pr: 0.141 0.000 0.625
Nd: 0.147 0.312 0.312
Pr: 0.766 0.000 0.375

Calculated values
Crystal system = tetragonal
Total moment = 0.00 μB/cell



Result of the stability comparison: 1 is the most stable of them.



1.
Material: Pr3Nd3In2
Method: DFT, PBE-GGA
State: relaxed

Unit cell a=5.424 b=6.758 c=15.964 alpha=90.00 beta=90.00 gamma=113.66
Fractional positions:
Nd: 0.360 0.720 0.528
Nd: 0.547 0.094 0.750
Nd: 0.640 0.280 0.028
Nd: 0.640 0.280 0.472
Nd: 0.453 0.906 0.250
Pr: 0.268 0.537 0.750
In: 0.221 0.442 0.358
In: 0.779 0.558 0.642
Pr: 0.039 0.078 0.893
Pr: 0.732 0.463 0.250
Pr: 0.039 0.078 0.607
In: 0.221 0.442 0.142
Pr: 0.961 0.922 0.107
Pr: 0.961 0.922 0.393
Nd: 0.360 0.720 0.972
In: 0.779 0.558 0.858

Calculated values
Crystal system = orthorhombic
Total moment = 0.00 μB/cell



2.
Material: Pr3Nd3In2
Method: DFT, PBE-GGA
State: relaxed

Unit cell a=4.999 b=5.006 c=10.024 alpha=90.00 beta=90.00 gamma=90.00
Fractional positions:
In: 0.000 0.000 0.751
Pr: 0.000 0.500 0.000
Nd: 0.500 0.500 0.750
Nd: 0.500 0.000 0.000
Pr: 0.000 0.500 0.500
Pr: 0.500 0.000 0.500
Nd: 0.500 0.500 0.250
In: 0.000 0.000 0.249

Calculated values
Crystal system = orthorhombic
Total moment = 0.00 μB/cell



Result of the stability comparison: 2 is the most stable of them.